Record 1
An optimized crystal structure of HfPa3N6, computed with PBE.

The calculation puts the total magnetic moment at 0.0 μB per formula unit. The calculated total energy comes out at -204.54 eV/cell. For the formation energy from raw total energies, the calculation gives -1387 meV/atom. The calculated volume comes out at 306.0 Å³/cell. Its density of states at the Fermi level is 3.0 states/eV/cell.

It has space group Cmmm (No. 65), with a = 7.733 Å, b = 10.935 Å, c = 3.619 Å, α = 90.00°, β = 90.00° and γ = 90.00°. The inequivalent atoms are Hf at (0.000, 0.000, 0.000), Pa at (0.000, 0.500, 0.000), Pa at (0.250, 0.250, 0.500), N at (0.000, 0.133, 0.500) and N at (0.210, 0.372, 0.000).



Record 2
An optimized crystal structure of MgIn2PbBr, computed with PBE.

The calculation puts the total magnetic moment at 0.0 μB per formula unit. The calculated total energy comes out at -11.28 eV/cell. For the formation energy from raw total energies, the calculation gives 234 meV/atom. The calculated volume comes out at 178.2 Å³/cell. Its density of states at the Fermi level is 2.6 states/eV/cell.

It has space group P4/mmm (No. 123), with a = 5.963 Å, b = 5.963 Å, c = 5.010 Å, α = 90.00°, β = 90.00° and γ = 90.00°. The inequivalent atoms are Mg at (0.000, 0.000, 0.000), In at (0.000, 0.500, 0.500), Pb at (0.500, 0.500, 0.000) and Br at (0.000, 0.000, 0.500).



Record 3
An optimized crystal structure of Pr2CoSn3, computed with PBE.

The calculation puts the total magnetic moment at 0.0 μB per formula unit. The calculated total energy comes out at -63.53 eV/cell. The calculated volume comes out at 303.4 Å³/cell. Its density of states at the Fermi level is 8.9 states/eV/cell. Its energy of formation is -516 meV/atom.

It has space group Cm (No. 8), with a = 11.337 Å, b = 4.639 Å, c = 7.564 Å, α = 90.00°, β = 130.31° and γ = 90.00°. The inequivalent atoms are Pr at (0.000, 0.000, 0.000), Pr at (0.129, 0.000, 0.595), Co at (0.373, 0.000, 0.543), Sn at (0.155, 0.500, 0.909), Sn at (0.259, 0.500, 0.422) and Sn at (0.382, 0.000, 0.204).